MgZnTe2 after structural relaxation. Source: Alexandria via LeMat-Bulk, functional PBE.

Lattice parameters (Å, degrees): 3.611 3.611 7.489 90.00 90.00 90.00
Space group P4/mmm (No. 123)
Asymmetric unit:
Mg 0.000 0.000 0.000 (multiplicity 1)
Zn 0.000 0.000 0.500 (multiplicity 1)
Te 0.500 0.500 0.248 (multiplicity 2)

The value obtained for the formation energy from raw total energies is -0.08 eV per atom. Its calculated total energy is -9.481 eV/cell.